No. 1
Here is Mg2NiW after structural relaxation from the Alexandria database. Energies are from PBE.

```
data_Mg2NiW
_cell_length_a 9.305
_cell_length_b 9.305
_cell_length_c 9.305
_cell_angle_alpha 17.58
_cell_angle_beta 17.58
_cell_angle_gamma 17.58
_space_group_name_H-M_alt 'P 1'
_space_group_IT_number 1
loop_
_space_group_symop_operation_xyz
'x,y,z'
loop_
_atom_site_label
_atom_site_fract_x
_atom_site_fract_y
_atom_site_fract_z
Ni1 0.250 0.250 0.250
Mg1 0.507 0.507 0.507
Mg2 0.993 0.993 0.993
W1 0.750 0.750 0.750
```

Values from the calculation:
ΔE_f in eV/atom: 0.326
Volume in Å³ per atom: 16.04
E above lowest polymorph in eV per atom: 0.2167
Space group: No. 166


No. 2
Here is ReSe2Br after structural relaxation from the Alexandria database. Energies are from PBE.

```
data_ReSe2Br
_cell_length_a 3.235
_cell_length_b 4.527
_cell_length_c 5.015
_cell_angle_alpha 90.00
_cell_angle_beta 90.00
_cell_angle_gamma 90.00
_space_group_name_H-M_alt 'P 1'
_space_group_IT_number 1
loop_
_space_group_symop_operation_xyz
'x,y,z'
loop_
_atom_site_label
_atom_site_fract_x
_atom_site_fract_y
_atom_site_fract_z
Br1 0.500 0.000 0.500
Se1 0.000 0.000 0.000
Se2 0.500 0.500 0.000
Re1 0.000 0.500 0.500
```

Values from the calculation:
Volume in Å³ per atom: 18.36
E above lowest polymorph in eV per atom: 1.2054
Space group: No. 47


No. 3
Here is Ni2BrN after structural relaxation from the Alexandria database. Energies are from PBE.

```
data_Ni2BrN
_cell_length_a 4.050
_cell_length_b 4.050
_cell_length_c 4.050
_cell_angle_alpha 60.00
_cell_angle_beta 60.00
_cell_angle_gamma 60.00
_space_group_name_H-M_alt 'P 1'
_space_group_IT_number 1
loop_
_space_group_symop_operation_xyz
'x,y,z'
loop_
_atom_site_label
_atom_site_fract_x
_atom_site_fract_y
_atom_site_fract_z
Ni1 0.750 0.750 0.750
Ni2 0.250 0.250 0.250
Br1 0.500 0.500 0.500
N1 0.000 0.000 0.000
```

Values from the calculation:
Volume in Å³ per atom: 11.74
E above lowest polymorph in eV per atom: 0.9914
Space group: No. 225


No. 4
Here is CaAuBr2 after structural relaxation from the Alexandria database. Energies are from PBE.

```
data_CaAuBr2
_cell_length_a 4.345
_cell_length_b 5.583
_cell_length_c 4.163
_cell_angle_alpha 90.00
_cell_angle_beta 90.00
_cell_angle_gamma 90.00
_space_group_name_H-M_alt 'P 1'
_space_group_IT_number 1
loop_
_space_group_symop_operation_xyz
'x,y,z'
loop_
_atom_site_label
_atom_site_fract_x
_atom_site_fract_y
_atom_site_fract_z
Br1 0.000 0.000 0.000
Br2 0.500 0.500 0.000
Ca1 0.500 0.000 0.500
Au1 0.000 0.500 0.500
```

Values from the calculation:
Volume in Å³ per atom: 25.25
E above lowest polymorph in eV per atom: 0.1406
Space group: No. 47


No. 5
Here is La4Ga2Ag after structural relaxation from the Alexandria database. Energies are from PBE.

```
data_La4Ga2Ag
_cell_length_a 5.317
_cell_length_b 5.317
_cell_length_c 9.050
_cell_angle_alpha 72.92
_cell_angle_beta 72.92
_cell_angle_gamma 60.00
_space_group_name_H-M_alt 'P 1'
_space_group_IT_number 1
loop_
_space_group_symop_operation_xyz
'x,y,z'
loop_
_atom_site_label
_atom_site_fract_x
_atom_site_fract_y
_atom_site_fract_z
Ag1 0.000 0.000 0.000
La1 0.129 0.129 0.613
La2 0.871 0.871 0.387
La3 0.381 0.381 0.857
La4 0.619 0.619 0.143
Ga1 0.252 0.252 0.245
Ga2 0.748 0.748 0.755
```

Values from the calculation:
ΔE_f in eV/atom: -0.362
Volume in Å³ per atom: 29.78
E above lowest polymorph in eV per atom: 0.0000
Space group: No. 166


No. 6
Here is Rb3Dy2CdSe6 after structural relaxation from the Alexandria database. Energies are from PBE.

```
data_Rb3Dy2CdSe6
_cell_length_a 7.300
_cell_length_b 7.300
_cell_length_c 8.422
_cell_angle_alpha 98.29
_cell_angle_beta 98.29
_cell_angle_gamma 119.97
_space_group_name_H-M_alt 'P 1'
_space_group_IT_number 1
loop_
_space_group_symop_operation_xyz
'x,y,z'
loop_
_atom_site_label
_atom_site_fract_x
_atom_site_fract_y
_atom_site_fract_z
Se1 0.272 0.272 0.804
Se2 0.935 0.598 0.804
Se3 0.402 0.065 0.196
Se4 0.598 0.935 0.804
Se5 0.728 0.728 0.196
Se6 0.065 0.402 0.196
Rb1 0.165 0.835 0.500
Rb2 0.500 0.500 0.500
Rb3 0.835 0.165 0.500
Dy1 0.333 0.667 0.000
Dy2 0.667 0.333 0.000
Cd1 0.000 0.000 0.000
```

Values from the calculation:
Volume in Å³ per atom: 31.03
Space group: No. 12


No. 7
Here is Zn2InBr after structural relaxation from the Alexandria database. Energies are from PBE.

```
data_Zn2InBr
_cell_length_a 8.135
_cell_length_b 8.135
_cell_length_c 8.135
_cell_angle_alpha 26.30
_cell_angle_beta 26.30
_cell_angle_gamma 26.30
_space_group_name_H-M_alt 'P 1'
_space_group_IT_number 1
loop_
_space_group_symop_operation_xyz
'x,y,z'
loop_
_atom_site_label
_atom_site_fract_x
_atom_site_fract_y
_atom_site_fract_z
Zn1 0.258 0.258 0.258
Zn2 0.989 0.989 0.989
Br1 0.513 0.513 0.513
In1 0.740 0.740 0.740
```

Values from the calculation:
Volume in Å³ per atom: 23.29
E above lowest polymorph in eV per atom: 0.0656
Space group: No. 160


No. 8
Here is Ru2Pb after structural relaxation from the Alexandria database. Energies are from PBE.

```
data_Ru2Pb
_cell_length_a 5.366
_cell_length_b 5.366
_cell_length_c 5.366
_cell_angle_alpha 60.00
_cell_angle_beta 60.00
_cell_angle_gamma 60.00
_space_group_name_H-M_alt 'P 1'
_space_group_IT_number 1
loop_
_space_group_symop_operation_xyz
'x,y,z'
loop_
_atom_site_label
_atom_site_fract_x
_atom_site_fract_y
_atom_site_fract_z
Pb1 0.750 0.750 0.750
Pb2 0.500 0.500 0.500
Ru1 0.125 0.625 0.125
Ru2 0.625 0.125 0.125
Ru3 0.125 0.125 0.125
Ru4 0.125 0.125 0.625
```

Values from the calculation:
ΔE_f in eV/atom: 0.622
Volume in Å³ per atom: 18.21
E above lowest polymorph in eV per atom: 0.2116
Space group: No. 227


No. 9
Here is NpB2C after structural relaxation from the Alexandria database. Energies are from PBE.

```
data_NpB2C
_cell_length_a 3.135
_cell_length_b 3.135
_cell_length_c 4.803
_cell_angle_alpha 70.95
_cell_angle_beta 70.95
_cell_angle_gamma 60.00
_space_group_name_H-M_alt 'P 1'
_space_group_IT_number 1
loop_
_space_group_symop_operation_xyz
'x,y,z'
loop_
_atom_site_label
_atom_site_fract_x
_atom_site_fract_y
_atom_site_fract_z
B1 0.694 0.694 0.919
B2 0.306 0.306 0.081
Np1 0.500 0.500 0.500
C1 0.000 0.000 0.000
```

Values from the calculation:
ΔE_f in eV/atom: 0.836
Volume in Å³ per atom: 9.47
Space group: No. 166


No. 10
Here is RbNaB2I8 after structural relaxation from the Alexandria database. Energies are from PBE.

```
data_RbNaB2I8
_cell_length_a 7.213
_cell_length_b 7.213
_cell_length_c 11.444
_cell_angle_alpha 71.63
_cell_angle_beta 71.63
_cell_angle_gamma 60.00
_space_group_name_H-M_alt 'P 1'
_space_group_IT_number 1
loop_
_space_group_symop_operation_xyz
'x,y,z'
loop_
_atom_site_label
_atom_site_fract_x
_atom_site_fract_y
_atom_site_fract_z
I1 0.701 0.041 0.811
I2 0.553 0.299 0.189
I3 0.041 0.447 0.811
I4 0.823 0.823 0.532
I5 0.959 0.553 0.189
I6 0.447 0.701 0.811
I7 0.299 0.959 0.189
I8 0.177 0.177 0.468
B1 0.752 0.752 0.743
B2 0.248 0.248 0.257
Na1 0.000 0.000 0.000
Rb1 0.500 0.500 0.500
```

Values from the calculation:
Volume in Å³ per atom: 40.02
Space group: No. 148


No. 11
Here is ErMg3 after structural relaxation from the Alexandria database. Energies are from PBE.

```
data_ErMg3
_cell_length_a 4.035
_cell_length_b 4.980
_cell_length_c 4.979
_cell_angle_alpha 90.00
_cell_angle_beta 90.00
_cell_angle_gamma 90.00
_space_group_name_H-M_alt 'P 1'
_space_group_IT_number 1
loop_
_space_group_symop_operation_xyz
'x,y,z'
loop_
_atom_site_label
_atom_site_fract_x
_atom_site_fract_y
_atom_site_fract_z
Mg1 0.500 0.500 0.917
Mg2 0.500 0.000 0.416
Mg3 0.000 0.000 0.917
Er1 0.000 0.500 0.417
```

Values from the calculation:
ΔE_f in eV/atom: -0.035
Volume in Å³ per atom: 25.01
Space group: No. 123


No. 12
Here is SrTi2F11 after structural relaxation from the Alexandria database. Energies are from PBE.

```
data_SrTi2F11
_cell_length_a 9.056
_cell_length_b 8.346
_cell_length_c 8.346
_cell_angle_alpha 65.58
_cell_angle_beta 57.14
_cell_angle_gamma 57.14
_space_group_name_H-M_alt 'P 1'
_space_group_IT_number 1
loop_
_space_group_symop_operation_xyz
'x,y,z'
loop_
_atom_site_label
_atom_site_fract_x
_atom_site_fract_y
_atom_site_fract_z
F1 0.318 0.358 0.890
F2 0.682 0.642 0.110
F3 0.500 0.500 0.500
F4 0.566 0.110 0.642
F5 0.434 0.890 0.358
F6 0.858 0.933 0.820
F7 0.818 0.390 0.858
F8 0.066 0.142 0.610
F9 0.182 0.610 0.142
F10 0.000 0.000 0.000
F11 0.890 0.433 0.320
F12 0.300 0.701 0.299
F13 0.110 0.567 0.680
F14 0.610 0.180 0.067
F15 0.934 0.858 0.390
F16 0.642 0.680 0.567
F17 0.200 0.201 0.799
F18 0.358 0.320 0.433
F19 0.700 0.299 0.701
F20 0.390 0.820 0.933
F21 0.142 0.067 0.180
F22 0.800 0.799 0.201
Ti1 0.345 0.345 0.655
Ti2 0.655 0.655 0.345
Ti3 0.155 0.845 0.155
Ti4 0.845 0.155 0.845
Sr1 0.250 0.250 0.250
Sr2 0.750 0.750 0.750
```

Values from the calculation:
Volume in Å³ per atom: 15.67
Space group: No. 72


| no. | theoretical density (g/cm3) | final energy (eV per cell) |
| --- | --- | --- |
| 1 | 7.534 | -20.62 |
| 2 | 9.587 | -16.30 |
| 3 | 7.470 | -16.90 |
| 4 | 6.525 | -12.05 |
| 5 | 6.396 | -31.15 |
| 6 | 5.207 | -49.83 |
| 7 | 5.803 | -7.28 |
| 8 | 12.443 | -40.79 |
| 9 | 11.865 | -32.18 |
| 10 | 3.960 | -33.69 |
| 11 | 3.986 | -9.49 |
| 12 | 2.969 | -166.20 |